Record 1
A relaxed ErSc2Hg4 crystal, computed with PBE.

Cell lengths 7.1389, 7.1389, 6.9072 Å; angles 90.00, 90.00, 90.00 degrees
With the nearest neighbours (Å) after each atom.
Sites, in units of the cell vectors:
Er 0.0000 0.0000 0.0000  8 Hg 3.06
Er 0.5000 0.5000 0.5000  8 Hg 3.06
Sc 0.0000 0.5000 0.0000  8 Hg 3.06
Sc 0.0000 0.5000 0.5000  8 Hg 3.06
Sc 0.5000 0.0000 0.0000  8 Hg 3.06
Sc 0.5000 0.0000 0.5000  8 Hg 3.06
Hg 0.2500 0.2500 0.2500  2 Er 3.06, 4 Sc 3.06
Hg 0.2500 0.2500 0.7500  2 Er 3.06, 4 Sc 3.06
Hg 0.2500 0.7500 0.2500  2 Er 3.06, 4 Sc 3.06
Hg 0.2500 0.7500 0.7500  2 Er 3.06, 4 Sc 3.06
Hg 0.7500 0.2500 0.2500  2 Er 3.06, 4 Sc 3.06
Hg 0.7500 0.2500 0.7500  2 Er 3.06, 4 Sc 3.06
Hg 0.7500 0.7500 0.2500  2 Er 3.06, 4 Sc 3.06
Hg 0.7500 0.7500 0.7500  2 Er 3.06, 4 Sc 3.06

theoretical density	10.0	Mg/m³
D(E_F)	6.0	states/eV per cell
energy of formation from the pure elements	-349	meV/atom

Record 2
A relaxed ErScHg crystal, computed with PBE.

Cell lengths 7.5190, 7.5190, 4.6607 Å; angles 90.00, 90.00, 120.00 degrees
With the nearest neighbours (Å) after each atom.
Sites, in units of the cell vectors:
Er 0.0000 0.5871 0.0000  5 Hg 3.10-3.25, 2 Sc 3.43
Er 0.4129 0.4129 0.0000  5 Hg 3.10-3.25, 2 Sc 3.43
Er 0.5871 0.0000 0.0000  5 Hg 3.10-3.25, 2 Sc 3.43
Sc 0.0000 0.2530 0.5000  4 Hg 2.86-3.01
Sc 0.2530 0.0000 0.5000  4 Hg 2.86-3.01
Sc 0.7470 0.7470 0.5000  4 Hg 2.86-3.01
Hg 0.0000 0.0000 0.0000  6 Sc 3.01, 3 Er 3.10
Hg 0.3333 0.6667 0.5000  3 Sc 2.86
Hg 0.6667 0.3333 0.5000  3 Sc 2.86

theoretical density	9.0	Mg/m³
polymorph energy (0 for the lowest one)	0.144	eV per formula unit
D(E_F)	12.0	states/eV per cell
energy of formation from the pure elements	-300	meV/atom

Record 3
A relaxed ErScHg6 crystal, computed with PBE.

Cell lengths 4.4402, 4.4402, 9.4597 Å; angles 90.00, 90.00, 90.00 degrees
With the nearest neighbours (Å) after each atom.
Sites, in units of the cell vectors:
Er 0.0000 0.0000 0.0000  12 Hg 3.14-3.28
Sc 0.0000 0.0000 0.5000  12 Hg 3.14-3.21
Hg 0.0000 0.5000 0.2551  8 Hg 3.14-3.28, 2 Sc 3.21, 2 Er 3.28
Hg 0.0000 0.5000 0.7449  8 Hg 3.14-3.28, 2 Sc 3.21, 2 Er 3.28
Hg 0.5000 0.0000 0.2551  8 Hg 3.14-3.28, 2 Sc 3.21, 2 Er 3.28
Hg 0.5000 0.0000 0.7449  8 Hg 3.14-3.28, 2 Sc 3.21, 2 Er 3.28
Hg 0.5000 0.5000 0.0000  4 Er 3.14, 8 Hg 3.28
Hg 0.5000 0.5000 0.5000  4 Sc 3.14, 8 Hg 3.21

theoretical density	12.6	Mg/m³
polymorph energy (0 for the lowest one)	0.000	eV per formula unit
D(E_F)	5.0	states/eV per cell
energy of formation from the pure elements	-251	meV/atom

Record 4
A relaxed ErSc5Hg6 crystal, computed with PBE.

Cell lengths 8.6659, 8.6659, 4.9916 Å; angles 106.52, 106.52, 48.96 degrees
With the nearest neighbours (Å) after each atom.
Sites, in units of the cell vectors:
Er 0.0000 0.0000 0.0000  8 Hg 3.13-3.14
Sc 0.1651 0.1651 0.6651  8 Hg 3.03-3.11
Sc 0.3319 0.3319 0.3318  8 Hg 3.04-3.05
Sc 0.5000 0.5000 0.0000  8 Hg 3.02-3.09
Sc 0.6681 0.6681 0.6682  8 Hg 3.04-3.05
Sc 0.8349 0.8349 0.3349  8 Hg 3.03-3.11
Hg 0.0862 0.5744 0.8303  7 Sc 3.03-3.10, 1 Er 3.14
Hg 0.2621 0.7379 0.5000  6 Sc 3.02-3.11, 2 Er 3.13
Hg 0.4256 0.9138 0.1697  7 Sc 3.03-3.10, 1 Er 3.14
Hg 0.5744 0.0862 0.8303  7 Sc 3.03-3.10, 1 Er 3.14
Hg 0.7379 0.2621 0.5000  6 Sc 3.02-3.11, 2 Er 3.13
Hg 0.9138 0.4256 0.1697  7 Sc 3.03-3.10, 1 Er 3.14

theoretical density	9.9	Mg/m³
D(E_F)	12.1	states/eV per cell
energy of formation from the pure elements	-432	meV/atom

Record 5
A relaxed Er6Sc2Hg crystal, computed with PBE.

Cell lengths 9.9373, 9.9452, 5.1523 Å; angles 90.00, 90.00, 90.00 degrees
With the nearest neighbours (Å) after each atom.
Sites, in units of the cell vectors:
Er 0.0334 0.1804 0.0000  1 Hg 3.20, 3 Sc 3.25-3.29, 1 Er 3.38
Er 0.1301 0.6295 0.5000  2 Hg 3.16, 2 Er 3.38, 4 Sc 3.44-3.45
Er 0.1805 0.9656 0.5000  1 Hg 3.19, 3 Sc 3.25-3.30, 1 Er 3.38
Er 0.3195 0.4656 0.0000  1 Hg 3.19, 3 Sc 3.25-3.30, 1 Er 3.38
Er 0.3699 0.1295 0.0000  2 Hg 3.16, 2 Er 3.38, 4 Sc 3.44-3.45
Er 0.4666 0.6804 0.5000  1 Hg 3.20, 3 Sc 3.25-3.29, 1 Er 3.38
Er 0.5334 0.3196 0.5000  1 Hg 3.20, 3 Sc 3.25-3.29, 1 Er 3.38
Er 0.6301 0.8705 0.0000  2 Hg 3.16, 2 Er 3.38, 4 Sc 3.44-3.45
Er 0.6805 0.5344 0.0000  1 Hg 3.19, 3 Sc 3.25-3.30, 1 Er 3.38
Er 0.8195 0.0344 0.5000  1 Hg 3.19, 3 Sc 3.25-3.30, 1 Er 3.38
Er 0.8699 0.3705 0.5000  2 Hg 3.16, 2 Er 3.38, 4 Sc 3.44-3.45
Er 0.9666 0.8196 0.0000  1 Hg 3.20, 3 Sc 3.25-3.29, 1 Er 3.38
Sc 0.2078 0.2912 0.5000  10 Er 3.25-3.45
Sc 0.2922 0.7912 0.0000  10 Er 3.25-3.45
Sc 0.7078 0.2088 0.0000  10 Er 3.25-3.45
Sc 0.7922 0.7088 0.5000  10 Er 3.25-3.45
Hg 0.0000 0.5000 0.0000  8 Er 3.16-3.20
Hg 0.5000 0.0000 0.5000  8 Er 3.16-3.20

theoretical density	8.4	Mg/m³
D(E_F)	35.1	states/eV per cell
energy of formation from the pure elements	-26	meV/atom

Record 6
A relaxed ErSc3Hg12 crystal, computed with PBE.

Cell lengths 4.4244, 4.4244, 18.7150 Å; angles 90.00, 90.00, 90.00 degrees
With the nearest neighbours (Å) after each atom.
Sites, in units of the cell vectors:
Er 0.0000 0.0000 0.0000  12 Hg 3.13-3.28
Sc 0.0000 0.0000 0.2541  12 Hg 3.13-3.22
Sc 0.0000 0.0000 0.5000  12 Hg 3.13-3.20
Sc 0.0000 0.0000 0.7459  12 Hg 3.13-3.22
Hg 0.0000 0.5000 0.1293  8 Hg 3.13-3.28, 2 Sc 3.22, 2 Er 3.28
Hg 0.0000 0.5000 0.3767  8 Hg 3.13-3.20, 4 Sc 3.19-3.20
Hg 0.0000 0.5000 0.6233  8 Hg 3.13-3.20, 4 Sc 3.19-3.20
Hg 0.0000 0.5000 0.8707  8 Hg 3.13-3.28, 2 Sc 3.22, 2 Er 3.28
Hg 0.5000 0.0000 0.1293  8 Hg 3.13-3.28, 2 Sc 3.22, 2 Er 3.28
Hg 0.5000 0.0000 0.3767  8 Hg 3.13-3.20, 4 Sc 3.19-3.20
Hg 0.5000 0.0000 0.6233  8 Hg 3.13-3.20, 4 Sc 3.19-3.20
Hg 0.5000 0.0000 0.8707  8 Hg 3.13-3.28, 2 Sc 3.22, 2 Er 3.28
Hg 0.5000 0.5000 0.0000  4 Er 3.13, 8 Hg 3.28
Hg 0.5000 0.5000 0.2534  4 Sc 3.13, 8 Hg 3.20-3.21
Hg 0.5000 0.5000 0.5000  4 Sc 3.13, 8 Hg 3.20
Hg 0.5000 0.5000 0.7466  4 Sc 3.13, 8 Hg 3.20-3.21

theoretical density	12.3	Mg/m³
D(E_F)	11.5	states/eV per cell
energy of formation from the pure elements	-230	meV/atom

Record 7
A relaxed Er2ScHg4 crystal, computed with PBE.

Cell lengths 5.3969, 5.3969, 15.0247 Å; angles 90.00, 90.00, 90.00 degrees
With the nearest neighbours (Å) after each atom.
Sites, in units of the cell vectors:
Er 0.0000 0.0000 0.1063  5 Hg 3.01-3.14, 1 Er 3.19
Er 0.0000 0.0000 0.8937  5 Hg 3.01-3.14, 1 Er 3.19
Er 0.5000 0.5000 0.3937  5 Hg 3.01-3.14, 1 Er 3.19
Er 0.5000 0.5000 0.6063  5 Hg 3.01-3.14, 1 Er 3.19
Sc 0.0000 0.0000 0.5000  6 Hg 2.70-2.90
Sc 0.5000 0.5000 0.0000  6 Hg 2.70-2.90
Hg 0.0000 0.0000 0.3068  1 Sc 2.90, 1 Er 3.01
Hg 0.0000 0.0000 0.6932  1 Sc 2.90, 1 Er 3.01
Hg 0.0000 0.5000 0.0000  2 Sc 2.70
Hg 0.0000 0.5000 0.5000  2 Sc 2.70
Hg 0.5000 0.0000 0.0000  2 Sc 2.70
Hg 0.5000 0.0000 0.5000  2 Sc 2.70
Hg 0.5000 0.5000 0.1932  1 Sc 2.90, 1 Er 3.01
Hg 0.5000 0.5000 0.8068  1 Sc 2.90, 1 Er 3.01

theoretical density	9.0	Mg/m³
polymorph energy (0 for the lowest one)	2.400	eV per formula unit
D(E_F)	14.6	states/eV per cell
energy of formation from the pure elements	21	meV/atom

Record 8
A relaxed Er8Sc2Hg crystal, computed with PBE.

Cell lengths 9.7737, 9.7737, 6.2150 Å; angles 94.77, 94.77, 32.14 degrees
With the nearest neighbours (Å) after each atom.
Sites, in units of the cell vectors:
Er 0.0448 0.0448 0.2645  2 Hg 3.24, 4 Er 3.44-3.56
Er 0.1577 0.1577 0.7933  5 Er 3.25-3.39, 4 Sc 3.37-3.62
Er 0.3376 0.3376 0.8760  1 Hg 3.08, 2 Sc 3.32, 3 Er 3.37-3.39
Er 0.4199 0.4199 0.4005  1 Hg 3.02, 3 Er 3.15-3.25, 1 Sc 3.31
Er 0.5801 0.5801 0.5995  1 Hg 3.02, 3 Er 3.15-3.25, 1 Sc 3.31
Er 0.6624 0.6624 0.1240  1 Hg 3.08, 2 Sc 3.32, 3 Er 3.37-3.39
Er 0.8423 0.8423 0.2067  5 Er 3.25-3.39, 4 Sc 3.37-3.62
Er 0.9552 0.9552 0.7355  2 Hg 3.24, 4 Er 3.44-3.56
Sc 0.2430 0.2430 0.3376  9 Er 3.31-3.65, 2 Sc 3.37
Sc 0.7570 0.7570 0.6624  9 Er 3.31-3.65, 2 Sc 3.37
Hg 0.5000 0.5000 0.0000  8 Er 3.02-3.24

theoretical density	8.6	Mg/m³
D(E_F)	14.1	states/eV per cell
energy of formation from the pure elements	-43	meV/atom

Repeat the fourth record exactly.
A relaxed ErSc5Hg6 crystal, computed with PBE.

Cell lengths 8.6659, 8.6659, 4.9916 Å; angles 106.52, 106.52, 48.96 degrees
With the nearest neighbours (Å) after each atom.
Sites, in units of the cell vectors:
Er 0.0000 0.0000 0.0000  8 Hg 3.13-3.14
Sc 0.1651 0.1651 0.6651  8 Hg 3.03-3.11
Sc 0.3319 0.3319 0.3318  8 Hg 3.04-3.05
Sc 0.5000 0.5000 0.0000  8 Hg 3.02-3.09
Sc 0.6681 0.6681 0.6682  8 Hg 3.04-3.05
Sc 0.8349 0.8349 0.3349  8 Hg 3.03-3.11
Hg 0.0862 0.5744 0.8303  7 Sc 3.03-3.10, 1 Er 3.14
Hg 0.2621 0.7379 0.5000  6 Sc 3.02-3.11, 2 Er 3.13
Hg 0.4256 0.9138 0.1697  7 Sc 3.03-3.10, 1 Er 3.14
Hg 0.5744 0.0862 0.8303  7 Sc 3.03-3.10, 1 Er 3.14
Hg 0.7379 0.2621 0.5000  6 Sc 3.02-3.11, 2 Er 3.13
Hg 0.9138 0.4256 0.1697  7 Sc 3.03-3.10, 1 Er 3.14

theoretical density	9.9	Mg/m³
D(E_F)	12.1	states/eV per cell
energy of formation from the pure elements	-432	meV/atom

Among the records above, which one has the lowest D(E_F)?
ErScHg6

Look up the theoretical density of the second one.
9.0 Mg/m³

The highest energy of formation from the pure elements belongs to which entry?
Er2ScHg4